Material: MgScSeN2
Method: DFT, PBE
State: relaxed

```
MgScSeN2
1.0
3.940 0.000 0.000
0.000 3.940 0.000
0.000 0.000 5.175
Sc Mg Se N
1 1 1 2
Cartesian
1.970 1.970 2.588
0.000 0.000 0.000
0.000 0.000 2.588
0.000 1.970 0.000
1.970 0.000 0.000
```

Calculated values
Space-group type: No. 123
Crystal system: tetragonal
DFT total energy in eV/atom: -5.14
DOS at the Fermi energy in states/eV/cell: 3.01